RbReNO2 | PBE | relaxed

a = 4.055 Å, b = 4.055 Å, c = 4.815 Å
α = 90.00°, β = 90.00°, γ = 90.00°
Last column: magnetic moment on the atom in μB.
Fractional coordinates of all 5 atoms:
Rb 0.000 0.000 0.000  -0.03
Re 0.500 0.500 0.500  0.21
O 0.500 0.000 0.000  -0.01
O 0.000 0.500 0.000  -0.01
N 0.000 0.000 0.500  -0.34

Values from the calculation:
Final energy, eV/cell: -17.37
Uncorrected formation energy, eV/atom: 2.856
Volume, Å³ per cell: 79
Size of the total moment, Bohr magnetons per cell: 0.3